P:
Density functional theory data (GGA+U) for a relaxed structure of Fe9Cu3O16.

a b c (Å): 5.840 5.840 8.272
angles (deg): 90.00 90.00 90.00
Space group P-4m2 (No. 115)
Symmetry-distinct sites (fractional):
Fe: 0.000 0.000 0.000
Fe: 0.000 0.250 0.375
Fe: 0.252 0.500 0.124
Cu: 0.000 0.500 0.746
Cu: 0.500 0.500 0.500
O: 0.000 0.223 0.611
O: 0.000 0.270 0.132
O: 0.225 0.500 0.359
O: 0.277 0.500 0.888

## Properties
**DOS at the Fermi energy**: 16.892 states/eV per cell

---

Q:
Density functional theory data (GGA+U) for a relaxed structure of Fe9Cu3O16.

a b c (Å): 5.961 5.993 8.291
angles (deg): 90.65 90.29 91.89
Space group P-1 (No. 2)
Symmetry-distinct sites (fractional):
Fe: 0.000 0.000 0.000
Fe: 0.000 0.500 0.500
Fe: 0.240 0.019 0.622
Fe: 0.245 0.752 0.250
Fe: 0.255 0.489 0.874
Fe: 0.500 0.000 0.000
Cu: 0.251 0.252 0.251
Cu: 0.500 0.500 0.500
O: 0.002 0.522 0.262
O: 0.018 0.985 0.235
O: 0.225 0.754 0.488
O: 0.240 0.284 0.491
O: 0.240 0.767 0.007
O: 0.247 0.222 0.006
O: 0.473 0.519 0.246
O: 0.493 0.979 0.245

## Properties
**DOS at the Fermi energy**: 7.512 states/eV per cell

---

The structure with the most favorable energy is Q; the runner-up is 145 meV per atom above it.